# 1
VASP calculation (GGA-PBE) on a relaxed structure of Cs2RbNaSb.

It has space group P4/mmm (No. 123), with a = 7.7026 Å, b = 7.7026 Å, c = 6.0283 Å, α = 90.00°, β = 90.00° and γ = 90.00°. The distinct sites, in fractional coordinates, are Cs at (0.0000, 0.5000, 0.0000), Rb at (0.0000, 0.0000, 0.5000), Na at (0.5000, 0.5000, 0.5000) and Sb at (0.5000, 0.5000, 0.0000).

The total magnetization comes out at 0.00 μB/atom. The density of states at the Fermi level is 1.161 states/eV per atom. The calculation puts the formation energy from raw total energies at -150 meV/atom.

# 2
VASP calculation (GGA-PBE) on a relaxed structure of CrMo8W2.

It has space group P-1 (No. 2), with a = 3.1530 Å, b = 7.0480 Å, c = 8.1571 Å, α = 105.15°, β = 101.04° and γ = 90.23°. The distinct sites, in fractional coordinates, are Cr at (0.0000, 0.0000, 0.0000), Mo at (0.0900, 0.4520, 0.1796), Mo at (0.1809, 0.9095, 0.3613), Mo at (0.3669, 0.8216, 0.7336), Mo at (0.4553, 0.2675, 0.9108) and W at (0.2728, 0.3626, 0.5454).

Its formation energy from the elements is 14 meV/atom. The total magnetization comes out at 0.00 μB/atom. The density of states at the Fermi level is 0.618 states/eV per atom.

# 3
VASP calculation (GGA-PBE) on a relaxed structure of Cu3Rh4PbO12.

It has space group Im-3 (No. 204), with a = 7.5493 Å, b = 7.5493 Å, c = 7.5493 Å, α = 90.00°, β = 90.00° and γ = 90.00°. The distinct sites, in fractional coordinates, are Cu at (0.0000, 0.0000, 0.5000), Rh at (0.2500, 0.2500, 0.2500), Pb at (0.0000, 0.0000, 0.0000) and O at (0.0000, 0.1695, 0.3112).

The total magnetization comes out at 0.00 μB/atom. The density of states at the Fermi level is 0.752 states/eV per atom. The calculation puts the formation energy from raw total energies at -689 meV/atom.

# 4
VASP calculation (GGA-PBE) on a relaxed structure of LiLa2Mg.

It has space group R-3m (No. 166, hexagonal axes), with a = 3.5688 Å, b = 3.5688 Å, c = 33.7912 Å, α = 90.00°, β = 90.00° and γ = 120.00°. The distinct sites, in fractional coordinates, are Li at (0.0000, 0.0000, 0.0000), La at (0.0000, 0.0000, 0.2490) and Mg at (0.0000, 0.0000, 0.5000).

Its formation energy from the elements is 77 meV/atom. The calculation puts the distance to the lowest polymorph of the same formula at 0.079 eV/atom. The total magnetization comes out at 0.00 μB/atom. The density of states at the Fermi level is 1.001 states/eV per atom.

# 5
VASP calculation (GGA-PBE) on a relaxed structure of Li2PaCu2Te4.

It has space group C2/m (No. 12), with a = 15.4553 Å, b = 4.1195 Å, c = 8.7604 Å, α = 90.00°, β = 119.82° and γ = 90.00°. The distinct sites, in fractional coordinates, are Li at (0.1236, 0.0000, 0.2266), Pa at (0.0000, 0.0000, 0.5000), Cu at (0.1807, 0.5000, 0.4897), Te at (0.0066, 0.5000, 0.7683) and Te at (0.2280, 0.0000, 0.7106).

The total magnetization comes out at 0.11 μB/atom. The density of states at the Fermi level is 0.372 states/eV per atom. The calculation puts the formation energy from raw total energies at -640 meV/atom.

# 6
VASP calculation (GGA-PBE) on a relaxed structure of ScAlP4.

It has space group F-43m (No. 216), with a = 7.2355 Å, b = 7.2355 Å, c = 7.2355 Å, α = 90.00°, β = 90.00° and γ = 90.00°. The distinct sites, in fractional coordinates, are Sc at (0.0000, 0.0000, 0.0000), Al at (0.2500, 0.2500, 0.2500) and P at (0.1247, 0.1247, 0.6247).

Its formation energy from the elements is 139 meV/atom. The total magnetization comes out at 0.00 μB/atom. The density of states at the Fermi level is 0.712 states/eV per atom.

# 7
VASP calculation (GGA-PBE) on a relaxed structure of Ho3Cd2Tc.

It has space group Cmmm (No. 65), with a = 5.0615 Å, b = 15.0558 Å, c = 7.5024 Å, α = 90.00°, β = 90.00° and γ = 90.00°. The distinct sites, in fractional coordinates, are Ho at (0.0000, 0.0000, 0.2289), Ho at (0.0000, 0.3255, 0.2212), Cd at (0.0000, 0.1650, 0.5000), Cd at (0.0000, 0.5000, 0.0000), Cd at (0.0000, 0.5000, 0.5000) and Tc at (0.0000, 0.1626, 0.0000).

Its formation energy from the elements is -238 meV/atom. The total magnetization comes out at 0.00 μB/atom. The density of states at the Fermi level is 0.780 states/eV per atom.

# 8
VASP calculation (GGA-PBE) on a relaxed structure of VBI3.

It has space group Pm-3m (No. 221), with a = 5.5347 Å, b = 5.5347 Å, c = 5.5347 Å, α = 90.00°, β = 90.00° and γ = 90.00°. The distinct sites, in fractional coordinates, are V at (0.0000, 0.0000, 0.0000), B at (0.5000, 0.5000, 0.5000) and I at (0.0000, 0.0000, 0.5000).

The calculation puts the distance to the lowest polymorph of the same formula at 0.000 eV/atom. The total magnetization comes out at 0.60 μB/atom. The density of states at the Fermi level is 0.714 states/eV per atom. The calculation puts the formation energy from raw total energies at 877 meV/atom.

# 9
VASP calculation (GGA-PBE) on a relaxed structure of PaZnCuPd.

It has space group F-43m (No. 216), with a = 6.6216 Å, b = 6.6216 Å, c = 6.6216 Å, α = 90.00°, β = 90.00° and γ = 90.00°. The distinct sites, in fractional coordinates, are Pa at (0.0000, 0.0000, 0.0000), Zn at (0.0000, 0.0000, 0.5000), Cu at (0.2500, 0.2500, 0.7500) and Pd at (0.2500, 0.2500, 0.2500).

Its formation energy from the elements is -222 meV/atom. The total magnetization comes out at 0.00 μB/atom. The density of states at the Fermi level is 1.356 states/eV per atom.

# 10
VASP calculation (GGA-PBE) on a relaxed structure of H2RuBr.

It has space group I-42d (No. 122), with a = 6.0430 Å, b = 6.0430 Å, c = 5.3611 Å, α = 90.00°, β = 90.00° and γ = 90.00°. The distinct sites, in fractional coordinates, are H at (0.0871, 0.2500, 0.1250), Ru at (0.0000, 0.0000, 0.0000) and Br at (0.0000, 0.0000, 0.5000).

The calculation puts the distance to the lowest polymorph of the same formula at 0.000 eV/atom. The total magnetization comes out at 0.20 μB/atom. The density of states at the Fermi level is 0.727 states/eV per atom.